(1)
## Ac5Tm4Tl4 (PBE)

Data for an optimized crystal structure of Ac5Tm4Tl4.

The structure in CIF format:
```
data_Ac5Tm4Tl4
_cell_length_a 5.010
_cell_length_b 9.862
_cell_length_c 9.862
_cell_angle_alpha 86.30
_cell_angle_beta 75.29
_cell_angle_gamma 75.29
_space_group_name_H-M_alt 'P 1'
_space_group_IT_number 1
loop_
_space_group_symop_operation_xyz
'x,y,z'
loop_
_atom_site_label
_atom_site_type_symbol
_atom_site_fract_x
_atom_site_fract_y
_atom_site_fract_z
_atom_site_occupancy
Tl1 Tl 0.748 0.318 0.185 1
Tl2 Tl 0.067 0.185 0.682 1
Ac1 Ac 0.298 0.074 0.330 1
Tm1 Tm 0.097 0.483 0.323 1
Tm2 Tm 0.420 0.677 0.483 1
Tl3 Tl 0.252 0.682 0.815 1
Ac2 Ac 0.000 0.000 0.000 1
Ac3 Ac 0.372 0.330 0.926 1
Tm3 Tm 0.580 0.323 0.517 1
Ac4 Ac 0.702 0.926 0.670 1
Tm4 Tm 0.903 0.517 0.677 1
Tl4 Tl 0.933 0.815 0.318 1
Ac5 Ac 0.628 0.670 0.074 1
```

**SG**: I4/m
**Total DFT energy (no corrections)**: -3.912 eV per atom

(2)
## Ac2TmTl3 (PBE)

Data for an optimized crystal structure of Ac2TmTl3.

The structure in CIF format:
```
data_Ac2TmTl3
_cell_length_a 3.952
_cell_length_b 3.952
_cell_length_c 12.354
_cell_angle_alpha 90.00
_cell_angle_beta 90.00
_cell_angle_gamma 90.00
_space_group_name_H-M_alt 'P 1'
_space_group_IT_number 1
loop_
_space_group_symop_operation_xyz
'x,y,z'
loop_
_atom_site_label
_atom_site_type_symbol
_atom_site_fract_x
_atom_site_fract_y
_atom_site_fract_z
_atom_site_occupancy
Ac1 Ac 0.500 0.500 0.179 1
Ac2 Ac 0.500 0.500 0.821 1
Tl1 Tl 0.000 0.000 0.639 1
Tm1 Tm 0.500 0.500 0.500 1
Tl2 Tl 0.000 0.000 0.000 1
Tl3 Tl 0.000 0.000 0.361 1
```

**E above lowest polymorph**: 0.0 meV per atom
**SG**: P4/mmm

(3)
## AcTm2Tl (PBE)

Data for an optimized crystal structure of AcTm2Tl.

The structure in CIF format:
```
data_AcTm2Tl
_cell_length_a 5.312
_cell_length_b 5.312
_cell_length_c 6.260
_cell_angle_alpha 64.89
_cell_angle_beta 64.89
_cell_angle_gamma 60.00
_space_group_name_H-M_alt 'P 1'
_space_group_IT_number 1
loop_
_space_group_symop_operation_xyz
'x,y,z'
loop_
_atom_site_label
_atom_site_type_symbol
_atom_site_fract_x
_atom_site_fract_y
_atom_site_fract_z
_atom_site_occupancy
Tm1 Tm 0.721 0.721 0.836 1
Tl1 Tl 0.000 0.000 0.000 1
Ac1 Ac 0.500 0.500 0.500 1
Tm2 Tm 0.279 0.279 0.164 1
```

**E above lowest polymorph**: 219.4 meV per atom
**SG**: R-3m

(4)
## Ac2TmTl (PBE)

Data for an optimized crystal structure of Ac2TmTl.

The structure in CIF format:
```
data_Ac2TmTl
_cell_length_a 5.884
_cell_length_b 5.884
_cell_length_c 5.884
_cell_angle_alpha 60.00
_cell_angle_beta 60.00
_cell_angle_gamma 60.00
_space_group_name_H-M_alt 'P 1'
_space_group_IT_number 1
loop_
_space_group_symop_operation_xyz
'x,y,z'
loop_
_atom_site_label
_atom_site_type_symbol
_atom_site_fract_x
_atom_site_fract_y
_atom_site_fract_z
_atom_site_occupancy
Ac1 Ac 0.250 0.250 0.250 1
Ac2 Ac 0.750 0.750 0.750 1
Tl1 Tl 0.500 0.500 0.500 1
Tm1 Tm 0.000 0.000 0.000 1
```

**E above lowest polymorph**: 62.3 meV per atom
**SG**: Fm-3m

(5)
## Ac3TmTl12 (PBE)

Data for an optimized crystal structure of Ac3TmTl12.

The structure in CIF format:
```
data_Ac3TmTl12
_cell_length_a 4.951
_cell_length_b 4.951
_cell_length_c 19.782
_cell_angle_alpha 90.00
_cell_angle_beta 90.00
_cell_angle_gamma 90.00
_space_group_name_H-M_alt 'P 1'
_space_group_IT_number 1
loop_
_space_group_symop_operation_xyz
'x,y,z'
loop_
_atom_site_label
_atom_site_type_symbol
_atom_site_fract_x
_atom_site_fract_y
_atom_site_fract_z
_atom_site_occupancy
Tl1 Tl 0.500 0.000 0.114 1
Ac1 Ac 0.000 0.000 0.759 1
Tl2 Tl 0.500 0.500 0.752 1
Tl3 Tl 0.000 0.500 0.114 1
Tl4 Tl 0.500 0.000 0.629 1
Tl5 Tl 0.500 0.500 0.500 1
Ac2 Ac 0.000 0.000 0.500 1
Tl6 Tl 0.500 0.500 0.000 1
Ac3 Ac 0.000 0.000 0.241 1
Tm1 Tm 0.000 0.000 0.000 1
Tl7 Tl 0.500 0.000 0.371 1
Tl8 Tl 0.500 0.000 0.886 1
Tl9 Tl 0.000 0.500 0.371 1
Tl10 Tl 0.500 0.500 0.248 1
Tl11 Tl 0.000 0.500 0.629 1
Tl12 Tl 0.000 0.500 0.886 1
```

**SG**: P4/mmm
**Total DFT energy (no corrections)**: -3.095 eV per atom

(6)
## Ac2TmTl (PBE)

Data for an optimized crystal structure of Ac2TmTl.

The structure in CIF format:
```
data_Ac2TmTl
_cell_length_a 5.180
_cell_length_b 5.210
_cell_length_c 5.210
_cell_angle_alpha 90.00
_cell_angle_beta 90.00
_cell_angle_gamma 90.00
_space_group_name_H-M_alt 'P 1'
_space_group_IT_number 1
loop_
_space_group_symop_operation_xyz
'x,y,z'
loop_
_atom_site_label
_atom_site_type_symbol
_atom_site_fract_x
_atom_site_fract_y
_atom_site_fract_z
_atom_site_occupancy
Tl1 Tl 0.500 0.000 0.000 1
Ac1 Ac 0.000 0.000 0.500 1
Tm1 Tm 0.500 0.500 0.500 1
Ac2 Ac 0.000 0.500 0.000 1
```

**E above lowest polymorph**: 8.3 meV per atom
**SG**: P4/mmm

(7)
## Ac3Tm2Tl7 (PBE)

Data for an optimized crystal structure of Ac3Tm2Tl7.

The structure in CIF format:
```
data_Ac3Tm2Tl7
_cell_length_a 4.917
_cell_length_b 4.940
_cell_length_c 16.493
_cell_angle_alpha 98.61
_cell_angle_beta 90.00
_cell_angle_gamma 90.00
_space_group_name_H-M_alt 'P 1'
_space_group_IT_number 1
loop_
_space_group_symop_operation_xyz
'x,y,z'
loop_
_atom_site_label
_atom_site_type_symbol
_atom_site_fract_x
_atom_site_fract_y
_atom_site_fract_z
_atom_site_occupancy
Tl1 Tl 0.000 0.224 0.447 1
Tl2 Tl 0.000 0.580 0.161 1
Tm1 Tm 0.000 0.866 0.732 1
Ac1 Ac 0.500 0.500 0.000 1
Tm2 Tm 0.000 0.134 0.268 1
Tl3 Tl 0.000 0.000 0.000 1
Ac2 Ac 0.500 0.686 0.371 1
Tl4 Tl 0.000 0.776 0.553 1
Ac3 Ac 0.500 0.314 0.629 1
Tl5 Tl 0.500 0.920 0.841 1
Tl6 Tl 0.500 0.080 0.159 1
Tl7 Tl 0.000 0.420 0.839 1
```

**SG**: Cmmm
**Total DFT energy (no corrections)**: -3.332 eV per atom

(8)
## AcTmTl2 (PBE)

Data for an optimized crystal structure of AcTmTl2.

The structure in CIF format:
```
data_AcTmTl2
_cell_length_a 3.884
_cell_length_b 3.884
_cell_length_c 10.277
_cell_angle_alpha 79.11
_cell_angle_beta 79.11
_cell_angle_gamma 60.00
_space_group_name_H-M_alt 'P 1'
_space_group_IT_number 1
loop_
_space_group_symop_operation_xyz
'x,y,z'
loop_
_atom_site_label
_atom_site_type_symbol
_atom_site_fract_x
_atom_site_fract_y
_atom_site_fract_z
_atom_site_occupancy
Tm1 Tm 0.000 0.000 0.000 1
Ac1 Ac 0.500 0.500 0.500 1
Tl1 Tl 0.257 0.257 0.229 1
Tl2 Tl 0.743 0.743 0.771 1
```

**SG**: R-3m
**Total DFT energy (no corrections)**: -3.529 eV per atom

(9)
## AcTmTl (PBE)

Data for an optimized crystal structure of AcTmTl.

The structure in CIF format:
```
data_AcTmTl
_cell_length_a 4.055
_cell_length_b 5.389
_cell_length_c 5.389
_cell_angle_alpha 120.00
_cell_angle_beta 90.00
_cell_angle_gamma 90.00
_space_group_name_H-M_alt 'P 1'
_space_group_IT_number 1
loop_
_space_group_symop_operation_xyz
'x,y,z'
loop_
_atom_site_label
_atom_site_type_symbol
_atom_site_fract_x
_atom_site_fract_y
_atom_site_fract_z
_atom_site_occupancy
Tm1 Tm 0.167 0.667 0.333 1
Tl1 Tl 0.166 0.000 0.000 1
Ac1 Ac 0.667 0.333 0.667 1
```

**E above lowest polymorph**: 97.2 meV per atom
**SG**: P-6m2

(10)
## Ac3TmTl3 (PBE)

Data for an optimized crystal structure of Ac3TmTl3.

The structure in CIF format:
```
data_Ac3TmTl3
_cell_length_a 7.297
_cell_length_b 7.297
_cell_length_c 9.956
_cell_angle_alpha 92.44
_cell_angle_beta 92.44
_cell_angle_gamma 105.70
_space_group_name_H-M_alt 'P 1'
_space_group_IT_number 1
loop_
_space_group_symop_operation_xyz
'x,y,z'
loop_
_atom_site_label
_atom_site_type_symbol
_atom_site_fract_x
_atom_site_fract_y
_atom_site_fract_z
_atom_site_occupancy
Tl1 Tl 0.078 0.459 0.267 1
Tl2 Tl 0.922 0.541 0.733 1
Tm1 Tm 0.261 0.261 0.048 1
Tl3 Tl 0.459 0.078 0.267 1
Tl4 Tl 0.972 0.972 0.220 1
Ac1 Ac 0.177 0.823 0.500 1
Ac2 Ac 0.750 0.250 0.000 1
Tl5 Tl 0.028 0.028 0.780 1
Ac3 Ac 0.823 0.177 0.500 1
Tl6 Tl 0.541 0.922 0.733 1
Ac4 Ac 0.397 0.397 0.684 1
Tm2 Tm 0.739 0.739 0.952 1
Ac5 Ac 0.603 0.603 0.316 1
Ac6 Ac 0.250 0.750 0.000 1
```

**SG**: C2/m
**Total DFT energy (no corrections)**: -3.622 eV per atom